Entry from the Alexandria database: TbPu2Th after structural relaxation (GGA-PBE).

Cell and atoms, written as POSCAR:
```
TbPu2Th
1.0
4.915 0.000 0.000
0.000 4.915 0.000
0.000 0.000 4.807
Tb Pu Th
1 2 1
Direct
0.000 0.000 0.000 Tb
0.000 0.500 0.500 Pu
0.500 0.000 0.500 Pu
0.500 0.500 0.000 Th
```

The calculation puts the formation energy at 0.174 eV/atom. The symmetry is P4/mmm. The total energy comes out at -10.00 eV/atom. The excess energy over the best structure of this formula in the dataset comes out at 0 meV/atom. For the volume, the calculation gives 29.0 Å³ per atom.